Entry 1:
## Pu2ZnAs (PBE)

Data for a relaxed structure of Pu2ZnAs.

```
Pu2ZnAs
1.0
3.697 0.000 0.000
1.849 3.202 0.000
1.849 1.067 9.987
As Zn Pu
1 1 2
direct
0.500 0.500 0.500 As
0.000 0.000 0.000 Zn
0.104 0.104 0.689 Pu
0.896 0.896 0.311 Pu
```

Properties
Its energy relative to the lowest polymorph listed for this composition is 0.460 eV per atom. For the formation energy, the calculation gives -0.013 eV per atom. Its total magnetic moment is 12.4 Bohr magnetons per cell.

***

Entry 2:
## ZnCd3Hg3 (PBE)

Data for a relaxed structure of ZnCd3Hg3.

```
ZnCd3Hg3
1.0
-4.711 6.449 -1.616
-6.485 -4.022 2.856
1.463 2.938 7.458
Zn Hg Cd
2 6 6
direct
0.500 0.500 0.500 Zn
0.000 0.000 0.000 Zn
0.000 0.250 0.500 Hg
0.000 0.750 0.500 Hg
0.500 0.000 0.750 Hg
0.750 0.500 0.000 Hg
0.500 0.000 0.250 Hg
0.250 0.500 0.000 Hg
0.250 0.000 0.500 Cd
0.000 0.500 0.250 Cd
0.500 0.750 0.000 Cd
0.750 0.000 0.500 Cd
0.000 0.500 0.750 Cd
0.500 0.250 0.000 Cd
```

Properties
Its energy relative to the lowest polymorph listed for this composition is 0.294 eV per atom. For the formation energy, the calculation gives 0.362 eV per atom. Its total magnetic moment is 0.0 Bohr magnetons per cell.

***

Entry 3:
## MnI3N (PBE)

Data for a relaxed structure of MnI3N.

```
MnI3N
1.0
-2.106 2.981 -3.508
-2.775 -3.900 -1.648
-3.673 1.238 3.257
I Mn N
3 1 1
direct
0.000 0.500 0.000 I
0.000 0.000 0.500 I
0.500 0.000 0.000 I
0.500 0.500 0.500 Mn
0.000 0.000 0.000 N
```

Properties
Its energy relative to the lowest polymorph listed for this composition is 0.000 eV per atom. Its total magnetic moment is 5.2 Bohr magnetons per cell. For the raw formation energy, the calculation gives 1.046 eV per atom.

***

Entry 4:
## InPW (PBE)

Data for a relaxed structure of InPW.

```
InPW
1.0
5.495 0.005 0.000
3.610 4.143 0.000
-4.552 -2.074 2.274
In P W
1 1 1
direct
0.999 0.999 0.000 In
0.300 0.300 0.000 P
0.700 0.700 0.000 W
```

Properties
Its energy relative to the lowest polymorph listed for this composition is 0.001 eV per atom. For the formation energy, the calculation gives 0.068 eV per atom. Its total magnetic moment is 0.0 Bohr magnetons per cell.

***

Entry 5:
## Tb2PuSc (PBE)

Data for a relaxed structure of Tb2PuSc.

```
Tb2PuSc
1.0
3.434 0.000 0.000
0.000 3.434 0.000
0.000 0.000 9.764
Sc Tb Pu
1 2 1
direct
0.500 0.500 0.000 Sc
0.000 0.000 0.756 Tb
0.000 0.000 0.244 Tb
0.500 0.500 0.500 Pu
```

Properties
Its energy relative to the lowest polymorph listed for this composition is 0.000 eV per atom. For the formation energy, the calculation gives 0.111 eV per atom. Its total magnetic moment is 5.8 Bohr magnetons per cell.

***

Entry 6:
## Ti3MoC (PBE)

Data for a relaxed structure of Ti3MoC.

```
Ti3MoC
1.0
-2.984 -2.899 0.389
2.190 -2.582 -2.448
1.939 -1.544 3.363
Mo C Ti
1 1 3
direct
0.500 0.500 0.500 Mo
0.000 0.000 0.000 C
0.000 0.500 0.000 Ti
0.000 0.000 0.500 Ti
0.500 0.000 0.000 Ti
```

Properties
Its energy relative to the lowest polymorph listed for this composition is 0.000 eV per atom. For the formation energy, the calculation gives -0.246 eV per atom. Its total magnetic moment is 0.0 Bohr magnetons per cell.